# 1
VASP calculation (PBE) on a relaxed TiZnBi3 crystal.

## Properties
Energy of formation (kJ per mole of atoms): 79.2
Total DFT energy (no corrections) (eV/atom): -3.341
Excess energy over the best structure of this formula in the dataset (meV/atom): 521
Density of states at the Fermi level (states/eV per cell): 9.1

```
data_TiZnBi3
_chemical_formula_sum 'Ti1 Zn1 Bi3'
_space_group_name_H-M_alt 'P m -3 m'
_space_group_IT_number 221
_space_group_name_Hall '-P 4 2 3'
_cell_length_a 5.3270
_cell_length_b 5.3270
_cell_length_c 5.3270
_cell_angle_alpha 90.00
_cell_angle_beta 90.00
_cell_angle_gamma 90.00
loop_
_atom_site_label
_atom_site_fract_x
_atom_site_fract_y
_atom_site_fract_z
Ti1 0.0000 0.0000 0.0000
Zn1 0.5000 0.5000 0.5000
Bi1 0.0000 0.5000 0.5000
```

# 2
VASP calculation (PBE) on a relaxed CuMoP2Cl crystal.

## Properties
Uncorrected formation energy (eV per atom): 0.564
Total DFT energy (no corrections) (eV/atom): -4.955
Excess energy over the best structure of this formula in the dataset (meV/atom): 0
Density of states at the Fermi level (states/eV per cell): 3.5

```
data_CuMoP2Cl
_chemical_formula_sum 'Cu1 Mo1 P2 Cl1'
_space_group_name_H-M_alt 'P 4/m m m'
_space_group_IT_number 123
_space_group_name_Hall '-P 4 2'
_cell_length_a 4.6564
_cell_length_b 4.6564
_cell_length_c 4.9487
_cell_angle_alpha 90.00
_cell_angle_beta 90.00
_cell_angle_gamma 90.00
loop_
_atom_site_label
_atom_site_fract_x
_atom_site_fract_y
_atom_site_fract_z
Cu1 0.0000 0.0000 0.0000
Mo1 0.5000 0.5000 0.5000
P1 0.0000 0.5000 0.5000
Cl1 0.5000 0.5000 0.0000
```

Number 1: volume 151.2 Å³ per cell. Number 2: volume 107.3 Å³ per cell.